DFT (GGA-PBE) results for a relaxed La4B6O15 crystal.

a = 12.2208 Å, b = 4.5167 Å, c = 19.9213 Å
α = 90.00°, β = 97.39°, γ = 90.00°
Space group C2/c (No. 15)
Unique sites:
1 La 0.1222 0.2051 0.0935 [8 per cell]
2 La 0.1414 0.2105 0.3031 [8 per cell]
3 B 0.0604 0.2828 0.6943 [8 per cell]
4 B 0.1051 0.2899 0.9106 [8 per cell]
5 B 0.1733 0.1995 0.4723 [8 per cell]
6 O 0.0000 0.1545 0.7500 [4 per cell]
7 O 0.0027 0.1834 0.6256 [8 per cell]
8 O 0.0595 0.3975 0.1956 [8 per cell]
9 O 0.0932 0.3911 0.4318 [8 per cell]
10 O 0.1294 0.1026 0.9720 [8 per cell]
11 O 0.1707 0.1511 0.7013 [8 per cell]
12 O 0.1879 0.2679 0.8641 [8 per cell]
13 O 0.2081 0.2877 0.5458 [8 per cell]

Properties
- uncorrected energy (eV/atom) = -8.3171
- uncorrected formation energy (eV/atom) = -2.95
- calculated volume (Å³/cell) = 1090

=====

DFT (GGA-PBE) results for a relaxed LaB4O7 crystal.

a = 11.2034 Å, b = 4.6023 Å, c = 4.2452 Å
α = 90.00°, β = 90.00°, γ = 90.00°
Space group Pmn2_1 (No. 31)
Unique sites:
1 La 0.0000 0.1903 0.0000 [2 per cell]
2 B 0.1224 0.6734 0.4273 [4 per cell]
3 B 0.2419 0.8206 0.8977 [4 per cell]
4 O 0.0000 0.7012 0.2975 [2 per cell]
5 O 0.1292 0.7549 0.7521 [4 per cell]
6 O 0.1648 0.3852 0.3533 [4 per cell]
7 O 0.2100 0.8933 0.2415 [4 per cell]

Properties
- uncorrected energy (eV/atom) = -7.9603
- uncorrected formation energy (eV/atom) = -2.43
- calculated volume (Å³/cell) = 219

=====

DFT (GGA-PBE) results for a relaxed LaB2O crystal.

a = 3.3299 Å, b = 3.3299 Å, c = 23.3951 Å
α = 90.00°, β = 90.00°, γ = 90.00°
Space group I4_1/amd (No. 141, origin choice 2)
Unique sites:
1 La 0.0000 0.2500 0.3750 [4 per cell]
2 B 0.0000 0.0000 0.0000 [8 per cell]
3 O 0.0000 0.2500 0.8750 [4 per cell]

Properties
- uncorrected energy (eV/atom) = -6.5874
- uncorrected formation energy (eV/atom) = -0.78
- calculated volume (Å³/cell) = 259

=====

DFT (GGA-PBE) results for a relaxed La3BO6 crystal.

a = 9.2757 Å, b = 11.7428 Å, c = 5.4151 Å
α = 90.00°, β = 90.00°, γ = 90.00°
Space group Cmc2_1 (No. 36)
Unique sites:
1 La 0.0000 0.1078 0.0000 [4 per cell]
2 La 0.1918 0.3881 0.9641 [8 per cell]
3 B 0.0000 0.3066 0.4113 [4 per cell]
4 O 0.0000 0.2974 0.6894 [4 per cell]
5 O 0.0000 0.4273 0.3114 [4 per cell]
6 O 0.1325 0.2468 0.2974 [8 per cell]
7 O 0.1593 0.0094 0.7263 [8 per cell]

Properties
- uncorrected energy (eV/atom) = -8.3077
- uncorrected formation energy (eV/atom) = -3.19
- calculated volume (Å³/cell) = 590

=====

DFT (GGA-PBE) results for a relaxed LaBO3 crystal.

a = 4.3446 Å, b = 4.3446 Å, c = 4.3446 Å
α = 90.00°, β = 90.00°, γ = 90.00°
Space group Pm-3m (No. 221)
Unique sites:
1 La 0.0000 0.0000 0.0000 [1 per cell]
2 B 0.5000 0.5000 0.5000 [1 per cell]
3 O 0.0000 0.0000 0.5000 [3 per cell]

Properties
- uncorrected energy (eV/atom) = -5.4361
- uncorrected formation energy (eV/atom) = -0.14
- calculated volume (Å³/cell) = 82

=====

DFT (GGA-PBE) results for a relaxed LaB3O crystal.

a = 4.9948 Å, b = 4.9948 Å, c = 4.9948 Å
α = 90.00°, β = 90.00°, γ = 90.00°
Space group Pm-3m (No. 221)
Unique sites:
1 La 0.0000 0.0000 0.0000 [1 per cell]
2 B 0.0000 0.0000 0.5000 [3 per cell]
3 O 0.5000 0.5000 0.5000 [1 per cell]

Properties
- uncorrected energy (eV/atom) = -3.0903
- uncorrected formation energy (eV/atom) = 2.89
- calculated volume (Å³/cell) = 125